! LuSn2Ru | the Alexandria database | PBE-GGA | optimized geometry; values from VASP
&SYSTEM
  ibrav = 0, nat = 4, ntyp = 3
/
ATOMIC_SPECIES
Ru 101.07 Ru.upf
Sn 118.71 Sn.upf
Lu 174.97 Lu.upf
ATOMIC_POSITIONS angstrom
Ru -2.241 0.485 -0.465
Sn -1.131 0.399 5.864
Sn -0.301 0.106 1.560
Lu -2.957 0.737 3.247
CELL_PARAMETERS angstrom
-1.735 2.768 -0.523
-2.747 -1.799 -0.407
-1.432 0.505 7.424
! volume = 20.7 Å³/atom
! formation energy from the elements = -284 meV per atom
! total energy = -5.734 eV/atom
! magnetic moment = 0.62 μB per formula unit

---

! GaReSe3 | the Alexandria database | PBE-GGA | optimized geometry; values from VASP
&SYSTEM
  ibrav = 0, nat = 5, ntyp = 3
/
ATOMIC_SPECIES
Re 186.21 Re.upf
Ga 69.72 Ga.upf
Se 78.96 Se.upf
ATOMIC_POSITIONS angstrom
Re 2.453 2.453 2.453
Ga 0.000 0.000 0.000
Se 0.000 0.000 2.453
Se 0.000 2.453 0.000
Se 2.453 0.000 0.000
CELL_PARAMETERS angstrom
4.907 0.000 0.000
0.000 4.907 0.000
0.000 0.000 4.907
! ΔE to the lowest computed polymorph = 876 meV/atom
! formation energy from raw total energies = 6.092 eV/f.u.
! volume = 23.6 Å³/atom
! total energy = -3.967 eV/atom
! magnetic moment = 3.69 μB per formula unit

---

! Eu2OF | the Alexandria database | PBE-GGA | optimized geometry; values from VASP
&SYSTEM
  ibrav = 0, nat = 4, ntyp = 3
/
ATOMIC_SPECIES
F 19.00 F.upf
O 16.00 O.upf
Eu 151.96 Eu.upf
ATOMIC_POSITIONS angstrom
F -3.598 -3.322 1.832
O 0.000 0.000 0.000
Eu -1.819 -1.513 0.888
Eu -5.376 -5.132 2.776
CELL_PARAMETERS angstrom
-2.507 0.158 2.655
-3.516 -0.635 -0.767
-1.172 -6.167 1.775
! ΔE to the lowest computed polymorph = 0 meV/atom
! formation energy from raw total energies = -10.456 eV/f.u.
! volume = 17.9 Å³/atom
! total energy = -9.459 eV/atom
! magnetic moment = 14.66 μB per formula unit

---

! Zr2ScCl5 | the Alexandria database | PBE-GGA | optimized geometry; values from VASP
&SYSTEM
  ibrav = 0, nat = 8, ntyp = 3
/
ATOMIC_SPECIES
Cl 35.45 Cl.upf
Zr 91.22 Zr.upf
Sc 44.96 Sc.upf
ATOMIC_POSITIONS angstrom
Cl 5.072 2.215 7.188
Cl 6.199 4.423 4.995
Zr 4.760 0.288 5.557
Zr 6.085 2.921 2.945
Cl 4.397 5.708 7.877
Sc 6.281 -0.744 2.302
Cl 1.935 4.668 5.722
Cl 0.719 1.612 2.024
CELL_PARAMETERS angstrom
6.353 -0.767 2.299
2.105 5.536 1.487
-0.198 0.951 6.029
! formation energy from raw total energies = -10.292 eV/f.u.
! volume = 27.5 Å³/atom
! total energy = -5.369 eV/atom
! magnetic moment = 0.00 μB per formula unit

---

! LiPuNp2S6 | the Alexandria database | PBE-GGA | optimized geometry; values from VASP
&SYSTEM
  ibrav = 0, nat = 10, ntyp = 4
/
ATOMIC_SPECIES
S 32.06 S.upf
Pu 244.00 Pu.upf
Np 237.00 Np.upf
Li 6.94 Li.upf
ATOMIC_POSITIONS angstrom
S 5.126 4.599 4.599
Pu 3.803 3.021 3.021
S 5.126 4.599 1.443
Np 6.787 0.000 3.021
S 1.081 3.021 3.021
S 5.126 1.443 4.599
Np 6.787 3.021 0.000
S 5.126 1.443 1.443
S 1.200 0.000 0.000
Li 3.599 0.000 0.000
CELL_PARAMETERS angstrom
6.788 0.000 0.000
0.000 6.041 0.000
0.000 0.000 6.041
! formation energy from raw total energies = -9.854 eV/f.u.
! volume = 24.8 Å³/atom
! total energy = -7.675 eV/atom
! magnetic moment = 2.15 μB per formula unit

---

! NdSm7Dy12 | the Alexandria database | PBE-GGA | optimized geometry; values from VASP
&SYSTEM
  ibrav = 0, nat = 20, ntyp = 3
/
ATOMIC_SPECIES
Sm 150.36 Sm.upf
Dy 162.50 Dy.upf
Nd 144.24 Nd.upf
ATOMIC_POSITIONS angstrom
Sm -2.307 3.996 3.263
Dy 0.003 4.013 -0.004
Dy 2.317 0.005 6.512
Dy 4.612 3.980 3.267
Dy 2.298 7.988 -3.249
Sm 4.614 0.000 3.263
Nd 0.000 0.000 0.000
Dy 3.476 2.004 0.004
Dy 1.138 5.988 3.259
Sm 2.307 3.996 1.631
Sm 2.307 3.996 -3.263
Dy 1.154 2.009 3.276
Sm 4.614 0.000 -1.631
Sm -2.307 3.996 -1.631
Dy 3.460 5.984 -0.013
Dy 8.066 2.004 3.249
Dy -3.452 5.988 0.013
Sm 0.000 0.000 4.894
Dy 5.755 2.009 -3.259
Dy -1.141 5.984 6.522
CELL_PARAMETERS angstrom
9.229 0.000 -3.263
-4.614 7.992 -3.263
0.000 0.000 9.789
! ΔE to the lowest computed polymorph = 364 meV/atom
! volume = 36.1 Å³/atom
! formation energy from the elements = 648 meV per atom
! total energy = -4.003 eV/atom
! magnetic moment = 0.00 μB per formula unit

---

! MgZrAs | the Alexandria database | PBE-GGA | optimized geometry; values from VASP
&SYSTEM
  ibrav = 0, nat = 3, ntyp = 3
/
ATOMIC_SPECIES
As 74.92 As.upf
Zr 91.22 Zr.upf
Mg 24.30 Mg.upf
ATOMIC_POSITIONS angstrom
As 6.782 3.915 2.769
Zr 4.521 2.610 1.846
Mg 0.000 0.000 0.000
CELL_PARAMETERS angstrom
4.521 0.000 0.000
2.261 3.915 0.000
2.261 1.305 3.691
! volume = 21.8 Å³/atom
! formation energy from the elements = -208 meV per atom
! total energy = -5.138 eV/atom
! magnetic moment = 1.12 μB per formula unit

---

! Mg5Tl2In2Hg | the Alexandria database | PBE-GGA | optimized geometry; values from VASP
&SYSTEM
  ibrav = 0, nat = 20, ntyp = 4
/
ATOMIC_SPECIES
Mg 24.30 Mg.upf
Tl 204.38 Tl.upf
In 114.82 In.upf
Hg 200.59 Hg.upf
ATOMIC_POSITIONS angstrom
Mg 2.076 -6.989 -1.652
Mg 2.051 -1.695 -5.803
Tl 4.464 -10.077 0.191
In 6.677 -11.000 -2.942
Mg 2.807 -5.081 -4.440
Mg 3.980 -9.578 -2.925
Tl 7.415 -9.358 -5.531
In 6.693 -5.805 -7.087
Hg 4.725 -6.725 -2.920
Mg 0.877 -9.659 2.557
Mg 4.711 -7.670 -5.713
Mg 0.030 -1.128 -2.724
Tl 2.035 -4.093 -0.309
Mg 5.910 -5.000 -9.922
In 2.756 -7.646 1.247
Hg 0.000 0.000 0.000
Mg 0.011 -6.238 1.358
In 2.772 -2.450 -2.898
Mg 6.757 -13.531 -4.641
Tl 4.985 -3.373 -6.031
CELL_PARAMETERS angstrom
-2.662 -1.208 -1.525
6.764 -2.183 -10.081
2.685 -11.268 4.241
! volume = 25.1 Å³/atom
! formation energy from the elements = -45 meV per atom
! total energy = -1.893 eV/atom
! magnetic moment = 0.00 μB per formula unit

---

! Cs3AgOs2O8 | the Alexandria database | PBE-GGA | optimized geometry; values from VASP
&SYSTEM
  ibrav = 0, nat = 14, ntyp = 4
/
ATOMIC_SPECIES
O 16.00 O.upf
Os 190.23 Os.upf
Cs 132.91 Cs.upf
Ag 107.87 Ag.upf
ATOMIC_POSITIONS angstrom
O -1.904 -2.539 1.885
O -7.550 0.227 -0.026
Os -3.255 -1.406 2.158
Cs -6.056 0.940 2.723
Cs 0.000 0.000 0.000
O -6.931 1.576 -2.557
Ag -3.204 2.685 0.647
O -4.831 -2.015 1.448
O -8.598 3.004 -0.503
Os -7.246 1.871 -0.776
O -2.952 0.238 1.407
O -5.670 2.479 -0.066
O -3.571 -1.111 3.938
Cs -4.446 -0.476 -1.341
CELL_PARAMETERS angstrom
-2.745 -1.968 -5.424
-1.349 -2.937 5.512
-6.408 5.370 1.294
! formation energy from raw total energies = -15.718 eV/f.u.
! volume = 21.4 Å³/atom
! total energy = -5.947 eV/atom
! magnetic moment = 4.00 μB per formula unit

---

! AcLaTbCe | the Alexandria database | PBE-GGA | optimized geometry; values from VASP
&SYSTEM
  ibrav = 0, nat = 4, ntyp = 4
/
ATOMIC_SPECIES
Ce 140.12 Ce.upf
Ac 227.00 Ac.upf
Tb 158.93 Tb.upf
La 138.91 La.upf
ATOMIC_POSITIONS angstrom
Ce -2.875 0.819 6.602
Ac -4.313 1.229 9.904
Tb 0.000 0.000 0.000
La -1.438 0.410 3.301
CELL_PARAMETERS angstrom
-4.428 -1.618 3.576
0.966 -0.636 5.804
-2.288 3.893 3.825
! volume = 36.6 Å³/atom
! formation energy from the elements = 212 meV per atom
! total energy = -4.688 eV/atom
! magnetic moment = 3.07 μB per formula unit

---

! CaBeTl2 | the Alexandria database | PBE-GGA | optimized geometry; values from VASP
&SYSTEM
  ibrav = 0, nat = 4, ntyp = 3
/
ATOMIC_SPECIES
Tl 204.38 Tl.upf
Ca 40.08 Ca.upf
Be 9.01 Be.upf
ATOMIC_POSITIONS angstrom
Tl -3.316 0.375 0.067
Ca -5.553 -0.178 2.238
Be -2.503 -0.619 2.431
Tl -0.102 -0.025 0.099
CELL_PARAMETERS angstrom
-1.370 3.310 -0.567
-1.981 -1.747 -2.486
-5.416 -1.340 5.258
! ΔE to the lowest computed polymorph = 139 meV/atom
! volume = 25.0 Å³/atom
! formation energy from the elements = 205 meV per atom
! total energy = -2.410 eV/atom
! magnetic moment = 0.00 μB per formula unit

---

! AlHg5 | the Alexandria database | PBE-GGA | optimized geometry; values from VASP
&SYSTEM
  ibrav = 0, nat = 6, ntyp = 2
/
ATOMIC_SPECIES
Hg 200.59 Hg.upf
Al 26.98 Al.upf
ATOMIC_POSITIONS angstrom
Hg -3.628 -0.934 6.020
Hg -4.438 1.082 8.176
Al 0.000 0.000 0.000
Hg -4.375 1.929 5.235
Hg -1.759 1.385 6.728
Hg -1.775 0.433 3.270
CELL_PARAMETERS angstrom
-0.126 -1.692 5.877
-1.620 4.028 4.308
-5.354 -0.605 2.894
! ΔE to the lowest computed polymorph = 174 meV/atom
! volume = 27.0 Å³/atom
! formation energy from the elements = 250 meV per atom
! total energy = -0.626 eV/atom
! magnetic moment = 0.00 μB per formula unit